Entry 1:
V2HgSbO8, optimized geometry, DFT PBE with a Hubbard U; spin magnetization = 0.000 μB per atom; calculated volume = 16.52 Å³/atom; energy = -76.3 eV per cell; N(E_F) = 4.013 states/eV/cell
1.0
4.4495 -2.9076 0.0000
4.4495 2.9076 0.0000
-0.9293 0.0000 7.6623
V Hg Sb O
2 1 1 8
direct
0.1628 0.1628 0.2129 V
0.8372 0.8372 0.7871 V
0.5000 0.5000 0.5000 Hg
0.5000 0.5000 0.0000 Sb
0.2038 0.7001 0.8081 O
0.2701 0.2701 0.4145 O
0.2756 0.2756 0.0451 O
0.2999 0.7962 0.1919 O
0.7001 0.2038 0.8081 O
0.7244 0.7244 0.9549 O
0.7299 0.7299 0.5855 O
0.7962 0.2999 0.1919 O

Entry 2:
VHgSbO6, optimized geometry, DFT PBE with a Hubbard U; spin magnetization = 0.000 μB per atom; calculated volume = 13.10 Å³/atom; energy = -53.0 eV per cell
1.0
5.2308 0.0000 0.0000
-2.6154 4.5300 0.0000
0.0000 0.0000 4.9749
V Hg Sb O
1 1 1 6
direct
0.0000 0.0000 0.0000 V
0.6667 0.3333 0.5000 Hg
0.3333 0.6667 0.0000 Sb
0.0366 0.3195 0.2154 O
0.0366 0.7172 0.7846 O
0.2828 0.3195 0.7846 O
0.2828 0.9634 0.2154 O
0.6805 0.7172 0.2154 O
0.6805 0.9634 0.7846 O

Entry 3:
HgSbWO6, optimized geometry, DFT PBE with a Hubbard U; spin magnetization = 0.084 μB per atom; calculated volume = 15.80 Å³/atom; energy = -107.0 eV per cell; N(E_F) = 4.914 states/eV/cell
1.0
-3.6856 3.7041 5.2065
3.6856 -3.7041 5.2065
3.6856 3.7041 -5.2065
Hg Sb W O
2 2 2 12
direct
0.4417 0.1917 0.2500 Hg
0.5583 0.8083 0.7500 Hg
0.0000 0.5000 0.5000 Sb
0.5000 0.5000 0.0000 Sb
0.0000 0.0000 0.5000 W
0.0000 0.5000 0.0000 W
0.0573 0.8073 0.2500 O
0.0637 0.4345 0.2451 O
0.0637 0.8187 0.6293 O
0.3106 0.1813 0.7451 O
0.3106 0.5655 0.1293 O
0.3273 0.5773 0.7500 O
0.6727 0.4227 0.2500 O
0.6894 0.4345 0.8707 O
0.6894 0.8187 0.2549 O
0.9363 0.1813 0.3707 O
0.9363 0.5655 0.7549 O
0.9427 0.1927 0.7500 O